Density functional theory data (PBE-GGA) for a relaxed PmEr2Tl crystal.

a b c (Å): 4.6848 4.8180 11.1432
angles (deg): 90.00 102.08 90.00
Space group P2_1/m (No. 11)
Unique sites:
Pm (0.1919, 0.2500, 0.3849) [2 per cell]
Er (0.0566, 0.7500, 0.1128) [2 per cell]
Er (0.4359, 0.7500, 0.8718) [2 per cell]
Tl (0.3386, 0.2500, 0.6754) [2 per cell]

Calculated values
energy above the lowest structure with this stoichiometry: 7 kJ/mol of formula units

Density functional theory data (PBE-GGA) for a relaxed PmEr3Tl crystal.

a b c (Å): 4.8369 25.3714 4.8003
angles (deg): 90.00 90.00 90.00
Space group Cmcm (No. 63)
Unique sites:
Pm (0.0000, 0.1479, 0.2500) [4 per cell]
Er (0.0000, 0.0463, 0.7500) [4 per cell]
Er (0.0000, 0.2507, 0.7500) [4 per cell]
Er (0.0000, 0.4491, 0.7500) [4 per cell]
Tl (0.0000, 0.3466, 0.2500) [4 per cell]

Calculated values
energy above the lowest structure with this stoichiometry: 0 kJ/mol of formula units

Density functional theory data (PBE-GGA) for a relaxed Pm6ErTl3 crystal.

a b c (Å): 10.3845 5.3032 11.6166
angles (deg): 90.00 101.57 90.00
Space group P2_1/m (No. 11)
Unique sites:
Pm (0.0561, 0.2500, 0.4080) [2 per cell]
Pm (0.1490, 0.7500, 0.1830) [2 per cell]
Pm (0.2342, 0.2500, 0.9891) [2 per cell]
Pm (0.3107, 0.7500, 0.7869) [2 per cell]
Pm (0.3794, 0.2500, 0.2924) [2 per cell]
Pm (0.3955, 0.2500, 0.5993) [2 per cell]
Er (0.4595, 0.7500, 0.0961) [2 per cell]
Tl (0.0360, 0.7500, 0.8890) [2 per cell]
Tl (0.1197, 0.2500, 0.6992) [2 per cell]
Tl (0.2770, 0.7500, 0.4642) [2 per cell]

Density functional theory data (PBE-GGA) for a relaxed PmEr6Tl crystal.

a b c (Å): 4.8822 4.8822 9.9856
angles (deg): 90.00 90.00 90.00
Space group P4/mmm (No. 123)
Unique sites:
Pm (0.0000, 0.0000, 0.0000) [1 per cell]
Er (0.0000, 0.5000, 0.2561) [4 per cell]
Er (0.5000, 0.5000, 0.0000) [1 per cell]
Er (0.5000, 0.5000, 0.5000) [1 per cell]
Tl (0.0000, 0.0000, 0.5000) [1 per cell]

Calculated values
energy above the lowest structure with this stoichiometry: 0 kJ/mol of formula units

Density functional theory data (PBE-GGA) for a relaxed Pm12Er3Tl crystal.

a b c (Å): 5.0529 5.0529 20.5125
angles (deg): 90.00 90.00 90.00
Space group P4/mmm (No. 123)
Unique sites:
Pm (0.0000, 0.0000, 0.0000) [1 per cell]
Pm (0.0000, 0.0000, 0.2473) [2 per cell]
Pm (0.0000, 0.0000, 0.5000) [1 per cell]
Pm (0.0000, 0.5000, 0.1222) [4 per cell]
Pm (0.0000, 0.5000, 0.3741) [4 per cell]
Er (0.5000, 0.5000, 0.2488) [2 per cell]
Er (0.5000, 0.5000, 0.5000) [1 per cell]
Tl (0.5000, 0.5000, 0.0000) [1 per cell]

Density functional theory data (PBE-GGA) for a relaxed Pm2Er3Tl6 crystal.

a b c (Å): 5.9365 5.9365 22.4668
angles (deg): 90.00 90.00 90.00
Space group I4/mmm (No. 139)
Unique sites:
Pm (0.0000, 0.0000, 0.0809) [4 per cell]
Er (0.0000, 0.0000, 0.3594) [4 per cell]
Er (0.0000, 0.0000, 0.5000) [2 per cell]
Tl (0.0000, 0.0000, 0.2218) [4 per cell]
Tl (0.0000, 0.5000, 0.0719) [8 per cell]

Spin magnetization (computed, μB/atom): 0.00 0.04 0.00 0.00 0.00 0.00
Energy of formation from the pure elements (computed, meV per atom): -160 -112 -194 -63 -32 165